No. 1
DFT (PBE) results for a geometry-optimized MgTi2Cd structure.

The volume comes out at 75.3 Å³/cell. The relative energy among the computed polymorphs is 0.1120 eV/atom. The energy of formation is 7 kJ per mole of atoms. The calculation puts the density of states at the Fermi level at 3.644 states/eV/f.u.

The structure belongs to space group P4/mmm (No. 123); the cell edges are 4.1172, 4.1172 and 4.4423 Å and the angles 90.00°, 90.00° and 90.00°. The inequivalent atoms are Mg at (0.0000, 0.0000, 0.0000), Ti at (0.0000, 0.5000, 0.5000) and Cd at (0.5000, 0.5000, 0.0000).

---

No. 2
DFT (PBE) results for a geometry-optimized Li2SnHg structure.

The volume comes out at 252.3 Å³/cell. The relative energy among the computed polymorphs is 0.0950 eV/atom. The energy of formation is -24 kJ per mole of atoms. The calculation puts the density of states at the Fermi level at 2.298 states/eV/f.u.

The structure belongs to space group R3m (No. 160, hexagonal axes); the cell edges are 3.2889, 3.2889 and 26.9326 Å and the angles 90.00°, 90.00° and 120.00°. The inequivalent atoms are Li at (0.0000, 0.0000, 0.0000), Li at (0.0000, 0.0000, 0.1667), Sn at (0.0000, 0.0000, 0.4169) and Hg at (0.0000, 0.0000, 0.5829).

---

No. 3
DFT (PBE) results for a geometry-optimized AcHoHg structure.

The volume comes out at 398.6 Å³/cell. The relative energy among the computed polymorphs is 0.0000 eV/atom. The energy of formation is -31 kJ per mole of atoms. The calculation puts the density of states at the Fermi level at 2.156 states/eV/f.u.

The structure belongs to space group C2/m (No. 12); the cell edges are 7.0973, 7.0968 and 7.9146 Å and the angles 90.00°, 90.06° and 90.00°. The inequivalent atoms are Ac at (0.2499, 0.0000, 0.1332), Ho at (0.0000, 0.2499, 0.5000) and Hg at (0.2502, 0.0000, 0.7274).

---

No. 4
DFT (PBE) results for a geometry-optimized Na2HfF6 structure.

The volume comes out at 273.5 Å³/cell. The calculation puts the density of states at the Fermi level at 0.000 states/eV/f.u. Its uncorrected formation energy is -3.4429 eV/atom.

The structure belongs to space group P4_2/mnm (No. 136); the cell edges are 5.1604, 5.1604 and 10.2704 Å and the angles 90.00°, 90.00° and 90.00°. The inequivalent atoms are Na at (0.0000, 0.0000, 0.1633), Hf at (0.0000, 0.0000, 0.5000), F at (0.1865, 0.1865, 0.3556) and F at (0.2237, 0.2237, 0.0000).

---

no.,density (g/cm³)
1,5.13
2,6.58
3,9.87
4,4.11